1.
Compound: RbSrNb2I
Source: Alexandria
Functional: PBE-GGA
Structure: optimized geometry

Cell lengths 5.222, 6.274, 5.222 Å; angles 90.00, 90.00, 90.00 degrees
Atoms (fractional coordinates):
Rb: 0.500 0.500 0.500
Nb: 0.500 0.000 0.000
Sr: 0.000 0.500 0.000
I: 0.000 0.000 0.000
Nb: 0.000 0.000 0.500

Properties
DOS at the Fermi energy: 3.6 states/eV per cell
Size of the total moment: 0.000 μB/f.u.
DFT total energy: -3.6585 eV per atom
ρ: 4.7 g/cm3
ΔE_f (raw): 1.21 eV/atom

---

2.
Compound: NpTl2I8
Source: Alexandria
Functional: PBE-GGA
Structure: optimized geometry

Cell lengths 6.603, 9.657, 9.657 Å; angles 81.05, 78.81, 78.81 degrees
Site moments in Bohr magnetons follow the coordinates.
Atoms (fractional coordinates):
I: 0.743 0.503 0.503  -0.02
Tl: 0.102 0.283 0.283  -0.01
I: 0.202 0.918 0.253  -0.11
I: 0.257 0.497 0.497  -0.02
I: 0.202 0.253 0.918  -0.11
Tl: 0.898 0.717 0.717  -0.01
I: 0.334 0.821 0.821  -0.09
I: 0.798 0.747 0.082  -0.11
Np: 0.000 0.000 0.000  3.06
I: 0.798 0.082 0.747  -0.11
I: 0.666 0.179 0.179  -0.09

Properties
DOS at the Fermi energy: 11.4 states/eV per cell
Size of the total moment: 2.139 μB/f.u.
DFT total energy: -3.2822 eV per atom
ρ: 4.7 g/cm3
ΔE_f (raw): -0.55 eV/atom

---

3.
Compound: SmEuSiPd
Source: Alexandria
Functional: PBE-GGA
Structure: optimized geometry

Cell lengths 5.116, 5.116, 5.116 Å; angles 60.00, 60.00, 60.00 degrees
Site moments in Bohr magnetons follow the coordinates.
Atoms (fractional coordinates):
Eu: 0.500 0.500 0.500  6.74
Sm: 0.000 0.000 0.000  -0.01
Si: 0.750 0.750 0.750  -0.03
Pd: 0.250 0.250 0.250  -0.03

Properties
DOS at the Fermi energy: 10.9 states/eV per cell
Size of the total moment: 6.824 μB/f.u.
DFT total energy: -6.9802 eV per atom
ρ: 7.7 g/cm3
ΔE_f (raw): -0.58 eV/atom

---

4.
Compound: ScCd8Hg6
Source: Alexandria
Functional: PBE-GGA
Structure: optimized geometry

Cell lengths 8.405, 8.405, 7.928 Å; angles 57.99, 57.99, 60.00 degrees
Atoms (fractional coordinates):
Hg: 0.398 0.043 0.808
Cd: 0.242 0.866 0.337
Cd: 0.555 0.242 0.337
Cd: 0.445 0.758 0.663
Cd: 0.134 0.445 0.663
Hg: 0.249 0.602 0.192
Hg: 0.602 0.957 0.192
Cd: 0.866 0.555 0.337
Hg: 0.751 0.398 0.808
Cd: 0.758 0.134 0.663
Cd: 0.341 0.341 0.976
Cd: 0.659 0.659 0.024
Sc: 0.000 0.000 0.000
Hg: 0.957 0.249 0.192
Hg: 0.043 0.751 0.808

Properties
DOS at the Fermi energy: 7.0 states/eV per cell
Size of the total moment: 0.000 μB/f.u.
DFT total energy: -1.0212 eV per atom
Energy above the lowest structure with this stoichiometry: 31 meV per atom
ρ: 9.3 g/cm3
Energy of formation: 0.9 kJ/mol of atoms

---

5.
Compound: SrHfTl2
Source: Alexandria
Functional: PBE-GGA
Structure: optimized geometry

Cell lengths 5.382, 5.382, 5.382 Å; angles 60.00, 60.00, 60.00 degrees
Site moments in Bohr magnetons follow the coordinates.
Atoms (fractional coordinates):
Tl: 0.250 0.250 0.250  0.00
Sr: 0.000 0.000 0.000  0.02
Tl: 0.750 0.750 0.750  0.00
Hf: 0.500 0.500 0.500  0.21

Properties
DOS at the Fermi energy: 3.0 states/eV per cell
Size of the total moment: 0.385 μB/f.u.
DFT total energy: -3.9708 eV per atom
Energy above the lowest structure with this stoichiometry: 0 meV per atom
ρ: 10.2 g/cm3
Energy of formation: 11.7 kJ/mol of atoms

---

6.
Compound: La2Ni4Sb3Pb
Source: Alexandria
Functional: PBE-GGA
Structure: optimized geometry

Cell lengths 4.516, 4.516, 10.254 Å; angles 90.00, 90.00, 90.00 degrees
Atoms (fractional coordinates):
Sb: 0.000 0.500 0.124
Ni: 0.500 0.000 0.632
La: 0.000 0.500 0.767
Pb: 0.500 0.500 0.500
La: 0.500 0.000 0.233
Ni: 0.500 0.500 0.000
Sb: 0.000 0.000 0.500
Ni: 0.000 0.500 0.368
Ni: 0.000 0.000 0.000
Sb: 0.500 0.000 0.876

Properties
DOS at the Fermi energy: 6.7 states/eV per cell
Size of the total moment: 0.000 μB/f.u.
DFT total energy: -5.5179 eV per atom
ρ: 8.6 g/cm3
ΔE_f (raw): -0.61 eV/atom

---

7.
Compound: Ba5Sr2Tl5
Source: Alexandria
Functional: PBE-GGA
Structure: optimized geometry

Cell lengths 6.024, 6.024, 16.379 Å; angles 79.29, 79.29, 60.00 degrees
Atoms (fractional coordinates):
Ba: 0.500 0.500 0.500
Tl: 0.000 0.000 0.000
Tl: 0.856 0.856 0.434
Tl: 0.394 0.394 0.815
Tl: 0.144 0.144 0.566
Ba: 0.781 0.781 0.658
Tl: 0.606 0.606 0.185
Ba: 0.219 0.219 0.342
Sr: 0.070 0.070 0.789
Ba: 0.312 0.312 0.065
Ba: 0.688 0.688 0.935
Sr: 0.930 0.930 0.211

Properties
DOS at the Fermi energy: 9.9 states/eV per cell
Size of the total moment: 0.000 μB/f.u.
DFT total energy: -2.3900 eV per atom
ρ: 6.2 g/cm3
Energy of formation: -31.1 kJ/mol of atoms